(1)
A plane-wave DFT calculation with PBE was carried out for an optimized crystal structure of HoTm2Al.

abc: 5.271 6.742 11.659
angles: 90.00 90.00 90.00
Space group Amm2 (No. 38)
Inequivalent atoms, fractional coordinates:
1 Ho 0.000 0.239 0.000 x4
2 Tm 0.000 0.000 0.760 x2
3 Tm 0.500 0.000 0.414 x2
4 Tm 0.500 0.239 0.174 x4
5 Al 0.000 0.000 0.254 x2
6 Al 0.500 0.000 0.919 x2

Summary:
M_tot (Bohr magnetons per cell): 0.00
Formation energy from the elements (meV per atom): -201

=====

(2)
A plane-wave DFT calculation with PBE was carried out for an optimized crystal structure of HoTm5Al4.

abc: 3.524 3.524 19.437
angles: 90.00 90.00 90.00
Space group P4/mmm (No. 123)
Inequivalent atoms, fractional coordinates:
1 Ho 0.000 0.000 0.000 x1
2 Tm 0.500 0.500 0.128 x2
3 Tm 0.500 0.500 0.315 x2
4 Tm 0.500 0.500 0.500 x1
5 Al 0.000 0.000 0.221 x2
6 Al 0.000 0.000 0.407 x2

Summary:
M_tot (Bohr magnetons per cell): 0.00
Formation energy from the elements (meV per atom): -312

=====

(3)
A plane-wave DFT calculation with PBE was carried out for an optimized crystal structure of HoTmAl.

abc: 3.4187 3.4187 23.5938
angles: 90.00 90.00 120.00
Space group R3m (No. 160, hexagonal axes)
Inequivalent atoms, fractional coordinates:
1 Ho 0.0000 0.0000 0.0000 x3
2 Tm 0.0000 0.0000 0.7913 x3
3 Al 0.0000 0.0000 0.2277 x3

Summary:
M_tot (Bohr magnetons per cell): 0.17
Formation energy from the elements (meV per atom): -40

=====

(4)
A plane-wave DFT calculation with PBE was carried out for an optimized crystal structure of HoTm2Al.

abc: 3.4061 3.4061 34.1041
angles: 90.00 90.00 120.00
Space group R-3m (No. 166, hexagonal axes)
Inequivalent atoms, fractional coordinates:
1 Ho 0.0000 0.0000 0.0000 x3
2 Tm 0.0000 0.0000 0.0996 x6
3 Al 0.0000 0.0000 0.5000 x3

Summary:
M_tot (Bohr magnetons per cell): 2.55
Formation energy from the elements (meV per atom): 115

=====

(5)
A plane-wave DFT calculation with PBE was carried out for an optimized crystal structure of Ho9Tm4Al11.

abc: 15.235 22.211 3.341
angles: 90.00 90.00 90.00
Space group Cmmm (No. 65)
Inequivalent atoms, fractional coordinates:
1 Ho 0.000 0.000 0.000 x2
2 Ho 0.109 0.405 0.000 x8
3 Ho 0.112 0.225 0.000 x8
4 Tm 0.175 0.083 0.000 x8
5 Al 0.000 0.121 0.500 x4
6 Al 0.000 0.313 0.500 x4
7 Al 0.000 0.500 0.500 x2
8 Al 0.204 0.500 0.500 x4
9 Al 0.226 0.314 0.500 x8

Summary:
M_tot (Bohr magnetons per cell): 0.00
Formation energy from the elements (meV per atom): -325

=====

(6)
A plane-wave DFT calculation with PBE was carried out for an optimized crystal structure of Ho6Tm12Al.

abc: 11.9719 11.9719 13.9225
angles: 90.00 90.00 120.00
Space group R-3 (No. 148, hexagonal axes)
Inequivalent atoms, fractional coordinates:
1 Ho 0.0335 0.5945 0.2071 x18
2 Tm 0.0432 0.8619 0.3120 x18
3 Tm 0.0685 0.1991 0.9065 x18
4 Al 0.0000 0.0000 0.5000 x3

Summary:
M_tot (Bohr magnetons per cell): 0.03
Formation energy from the elements (meV per atom): 106

=====

- Among the records above, which one has the highest formation energy from the elements?
  number 4

=====

- M_tot of number 6 (Ho6Tm12Al)?
  0.03 Bohr magnetons per cell

=====

- Number 3 is which compound?
  HoTmAl

=====

Copy entry 2 word for word.
A plane-wave DFT calculation with PBE was carried out for an optimized crystal structure of HoTm5Al4.

abc: 3.524 3.524 19.437
angles: 90.00 90.00 90.00
Space group P4/mmm (No. 123)
Inequivalent atoms, fractional coordinates:
1 Ho 0.000 0.000 0.000 x1
2 Tm 0.500 0.500 0.128 x2
3 Tm 0.500 0.500 0.315 x2
4 Tm 0.500 0.500 0.500 x1
5 Al 0.000 0.000 0.221 x2
6 Al 0.000 0.000 0.407 x2

Summary:
M_tot (Bohr magnetons per cell): 0.00
Formation energy from the elements (meV per atom): -312